Record 1
Entry from Alexandria via LeMat-Bulk: an optimized crystal structure of Cs2Sb2Pd (GGA-PBEsol).

Unit cell a=6.693 b=7.454 c=8.426 alpha=63.75 beta=90.00 gamma=90.00
Positions (direct):
Cs 0.750 0.400 0.200
Pd 0.500 0.000 0.000
Cs 0.750 0.801 0.399
Sb 0.750 0.288 0.800
Sb 0.250 0.712 0.200
Sb 0.250 0.088 0.200
Pd 0.000 0.000 0.000
Sb 0.750 0.912 0.800
Cs 0.250 0.600 0.800
Cs 0.250 0.199 0.601

Computed properties:
E: -3.889 eV per atom

---

Record 2
Entry from Alexandria via LeMat-Bulk: an optimized crystal structure of Cs3SbPd (GGA-PBEsol).

Unit cell a=6.058 b=6.058 c=6.058 alpha=90.00 beta=90.00 gamma=90.00
Each line ends with the local moment (μB).
Positions (direct):
Pd 0.000 0.000 0.000  0.01
Cs 0.000 0.000 0.500  0.01
Sb 0.500 0.500 0.500  0.33
Cs 0.000 0.500 0.000  0.01
Cs 0.500 0.000 0.000  0.01

Computed properties:
E: -2.522 eV per atom

---

Record 3
Entry from Alexandria via LeMat-Bulk: an optimized crystal structure of Cs2PdSe8 (GGA-PBEsol).

Unit cell a=12.313 b=12.313 c=12.313 alpha=105.79 beta=105.79 gamma=117.11
Positions (direct):
Se 0.563 0.715 0.341
Cs 0.887 0.613 0.500
Se 0.830 0.024 0.874
Se 0.874 0.215 0.152
Se 0.774 0.080 0.374
Se 0.149 0.956 0.126
Se 0.206 0.580 0.307
Cs 0.637 0.637 0.773
Se 0.330 0.456 0.807
Se 0.376 0.535 0.348
Cs 0.137 0.363 0.000
Pd 0.500 0.500 0.000
Se 0.706 0.399 0.626
Se 0.976 0.851 0.807
Cs 0.387 0.887 0.273
Se 0.278 0.126 0.341
Se 0.687 0.035 0.159
Se 0.785 0.937 0.659
Se 0.601 0.226 0.307
Se 0.465 0.813 0.841
Cs 0.863 0.863 0.227
Se 0.420 0.726 0.626
Se 0.044 0.170 0.193
Pd 0.000 0.000 0.000
Pd 0.250 0.750 0.500
Se 0.649 0.524 0.193
Pd 0.750 0.250 0.500
Se 0.476 0.670 0.126
Se 0.876 0.528 0.841
Se 0.472 0.313 0.348
Cs 0.363 0.137 0.000
Se 0.063 0.722 0.848
Cs 0.613 0.113 0.727
Se 0.101 0.794 0.374
Se 0.920 0.294 0.693
Se 0.778 0.437 0.152
Se 0.544 0.351 0.874
Cs 0.113 0.387 0.500
Se 0.972 0.624 0.159
Se 0.374 0.222 0.659
Se 0.274 0.899 0.693
Se 0.187 0.028 0.652
Se 0.965 0.124 0.652
Se 0.285 0.626 0.848

Computed properties:
E: -4.001 eV per atom

---

Record 4
Entry from Alexandria via LeMat-Bulk: an optimized crystal structure of CsSiPd2 (GGA-PBEsol).

Unit cell a=6.456 b=6.456 c=6.456 alpha=109.69 beta=109.36 gamma=109.36
Positions (direct):
Si 0.000 0.500 0.500
Pd 0.123 0.248 0.625
Pd 0.377 0.875 0.752
Pd 0.877 0.502 0.125
Si 0.500 0.250 0.750
Cs 0.000 0.000 0.000
Pd 0.623 0.375 0.498
Cs 0.500 0.750 0.250

Computed properties:
E: -4.629 eV per atom

---

Record 5
Entry from Alexandria via LeMat-Bulk: an optimized crystal structure of CsSi2Pd (GGA-PBEsol).

Unit cell a=4.878 b=4.878 c=4.878 alpha=60.00 beta=60.00 gamma=60.00
Positions (direct):
Si 0.750 0.750 0.750
Pd 0.000 0.000 0.000
Si 0.250 0.250 0.250
Cs 0.500 0.500 0.500

Computed properties:
E: -3.809 eV per atom

---

Record 6
Entry from Alexandria via LeMat-Bulk: an optimized crystal structure of CsY2SnPd (GGA-PBEsol).

Unit cell a=4.960 b=5.514 c=5.514 alpha=90.00 beta=90.00 gamma=90.00
Positions (direct):
Pd 0.500 0.000 0.000
Sn 0.500 0.500 0.500
Cs 0.000 0.000 0.000
Y 0.000 0.000 0.500
Y 0.000 0.500 0.000

Computed properties:
E: -3.916 eV per atom
ΔH_f (0 K): 1044.5 meV/atom

---

Record 7
Entry from Alexandria via LeMat-Bulk: an optimized crystal structure of CsTaPd3 (GGA-PBEsol).

Unit cell a=4.977 b=4.977 c=4.977 alpha=90.00 beta=90.00 gamma=90.00
Positions (direct):
Pd 0.500 0.000 0.000
Pd 0.000 0.500 0.000
Pd 0.000 0.000 0.500
Ta 0.000 0.000 0.000
Cs 0.500 0.500 0.500

Computed properties:
E: -5.549 eV per atom
ΔH_f (0 K): 725.0 meV/atom

---

Record 8
Entry from Alexandria via LeMat-Bulk: an optimized crystal structure of CsTe3Pd (GGA-PBEsol).

Unit cell a=5.388 b=5.388 c=5.388 alpha=90.00 beta=90.00 gamma=90.00
Positions (direct):
Pd 0.000 0.000 0.000
Cs 0.500 0.500 0.500
Te 0.500 0.000 0.000
Te 0.000 0.500 0.000
Te 0.000 0.000 0.500

Computed properties:
E: -3.766 eV per atom